Record 1
Density functional theory data (PBE) for a relaxed TlFe3Se crystal.

```
TlFe3Se
1.0
4.490 0.000 0.000
0.000 4.490 0.000
0.000 0.000 4.490
Se Tl Fe
1 1 3
direct
0.000 0.000 0.000
0.500 0.500 0.500
0.500 0.000 0.000
0.000 0.500 0.000
0.000 0.000 0.500
```

Summary:
Offset from the most stable computed form: 0 meV/atom
Symmetry: Pm-3m, No. 221
Formation energy (no corrections): 56.2 kJ per mole of atoms

Record 2
Density functional theory data (PBE) for a relaxed TlFeSe2 crystal.

```
TlFeSe2
1.0
7.593 -0.025 0.000
5.717 4.998 0.000
-6.655 -2.486 2.681
Tl Se Fe
1 2 1
direct
0.000 0.000 0.000
0.351 0.351 0.000
0.649 0.649 0.000
0.250 0.750 0.500
```

Summary:
Symmetry: I-4m2, No. 119
Formation energy (no corrections): -16.2 kJ per mole of atoms

Record 3
Density functional theory data (PBE) for a relaxed TlFeSe2 crystal.

```
TlFeSe2
1.0
3.153 0.000 0.000
0.000 3.153 0.000
0.000 0.000 8.567
Tl Fe Se
1 1 2
direct
0.500 0.500 0.250
0.500 0.500 0.750
0.000 0.000 0.576
0.000 0.000 0.924
```

Summary:
Symmetry: P4/mmm, No. 123
Formation energy (no corrections): 2.8 kJ per mole of atoms